# 1
PBE-GGA ScTc2Au, optimized geometry; density of states at the Fermi level = 0.855 states/eV/atom; total DFT energy (no corrections) = -29.81 eV/f.u.; energy above the most stable polymorph in this dataset = 1.324 eV per formula unit; symmetry = Pmmm, No. 47
1.0
2.891 0.000 0.000
0.000 4.395 0.000
0.000 0.000 5.482
Sc Tc Au
1 2 1
Direct
0.000 0.000 0.000
0.500 0.500 0.210
0.500 0.500 0.790
0.000 0.000 0.500

# 2
PBE-GGA Sc4TcAu3, optimized geometry; density of states at the Fermi level = 0.752 states/eV/atom; total DFT energy (no corrections) = -50.90 eV/f.u.; symmetry = P4/mmm, No. 123
1.0
3.376 0.000 0.000
0.000 3.376 0.000
0.000 0.000 13.310
Sc Tc Au
4 1 3
Direct
0.000 0.000 0.113
0.000 0.000 0.371
0.000 0.000 0.629
0.000 0.000 0.887
0.500 0.500 0.000
0.500 0.500 0.244
0.500 0.500 0.500
0.500 0.500 0.756

# 3
PBE-GGA Sc2TcAu, optimized geometry; density of states at the Fermi level = 1.049 states/eV/atom; total DFT energy (no corrections) = -26.63 eV/f.u.; energy above the most stable polymorph in this dataset = 1.909 eV per formula unit; symmetry = F-43m, No. 216
1.0
0.000 3.313 3.313
3.313 0.000 3.313
3.313 3.313 0.000
Sc Tc Au
2 1 1
Direct
0.000 0.000 0.000
0.250 0.250 0.250
0.500 0.500 0.500
0.750 0.750 0.750

# 4
PBE-GGA ScTc2Au, optimized geometry; density of states at the Fermi level = 1.163 states/eV/atom; total DFT energy (no corrections) = -30.09 eV/f.u.; energy above the most stable polymorph in this dataset = 1.051 eV per formula unit; symmetry = I4/mmm, No. 139
1.0
-1.949 1.949 4.379
1.949 -1.949 4.379
1.949 1.949 -4.379
Sc Tc Au
1 2 1
Direct
0.000 0.000 0.000
0.250 0.750 0.500
0.750 0.250 0.500
0.500 0.500 0.000

The evaluated M_tot for the records listed, in turn: 0.0 0.0 0.0 0.0 Bohr magnetons per cell.
The evaluated calculated volume for the records listed, in turn: 69.6 151.7 72.7 66.5 Å³/cell.